w) Material: Rb2Bi2Se
Method: DFT, PBE
State: optimized geometry

Computed properties:
Total magnetic moment = 0.5 μB per formula unit

a b c (Å): 4.4160 4.4160 22.0468
angles (deg): 90.00 90.00 90.00
With the nearest neighbours (Å) after each atom.
Space group I4/mmm (No. 139)
Symmetry-distinct sites (fractional):
Rb  0.0000  0.0000  0.0829 (multiplicity 4)  4 Se 3.62, 1 Rb 3.65
Bi  0.0000  0.5000  0.2500 (multiplicity 4)  4 Bi 3.12
Se  0.0000  0.0000  0.5000 (multiplicity 2)  8 Rb 3.62

x) Material: Rb2Bi2Se
Method: DFT, PBE
State: optimized geometry

Computed properties:
Total magnetic moment = 0.0 μB per formula unit

a b c (Å): 10.8954 10.8954 3.4683
angles (deg): 90.00 90.00 90.00
With the nearest neighbours (Å) after each atom.
Space group P4/mbm (No. 127)
Symmetry-distinct sites (fractional):
Rb  0.2043  0.2957  0.0000 (multiplicity 4)  2 Rb 3.47, 6 Bi 3.58-3.87
Bi  0.0925  0.5925  0.5000 (multiplicity 4)  1 Bi 2.85
Se  0.0000  0.0000  0.0000 (multiplicity 2)  2 Se 3.47

Of them, the most stable is w) and the least stable is x).

w) Material: RbBiSe
Method: DFT, PBE
State: optimized geometry

Computed properties:
Total magnetic moment = 0.0 μB per formula unit

a b c (Å): 4.0295 6.1655 18.5220
angles (deg): 90.00 90.00 90.00
With the nearest neighbours (Å) after each atom.
Space group Immm (No. 71)
Symmetry-distinct sites (fractional):
Rb  0.0000  0.0000  0.1705 (multiplicity 4)  5 Se 3.44-3.72
Bi  0.0000  0.2297  0.5000 (multiplicity 4)  1 Bi 2.83, 2 Se 3.02
Se  0.0000  0.0000  0.3562 (multiplicity 4)  2 Bi 3.02

x) Material: RbBiSe
Method: DFT, PBE
State: optimized geometry

Computed properties:
Total magnetic moment = 0.0 μB per formula unit

a b c (Å): 4.7126 4.9414 11.8670
angles (deg): 92.86 101.16 113.88
With the nearest neighbours (Å) after each atom.
Space group P1 (No. 1)
Symmetry-distinct sites (fractional):
Rb  0.0000  0.0000  0.0000 (multiplicity 1)  6 Se 3.51-3.79
Rb  0.2402  0.1396  0.3792 (multiplicity 1)  6 Se 3.52-3.80
Bi  0.1791  0.5454  0.7434 (multiplicity 1)  3 Bi 3.13-3.23
Bi  0.7552  0.8552  0.6298 (multiplicity 1)  3 Bi 3.13-3.23
Se  0.4140  0.6788  0.1892 (multiplicity 1)  2 Se 2.53-2.58
Se  0.8259  0.4599  0.1887 (multiplicity 1)  2 Se 2.53-2.58

Of them, the most stable is x) and the least stable is w).

w) Material: RbSiBi3
Method: DFT, PBE
State: optimized geometry

Computed properties:
Total magnetic moment = 0.0 μB per formula unit

a b c (Å): 5.6386 5.6386 5.6386
angles (deg): 90.00 90.00 90.00
With the nearest neighbours (Å) after each atom.
Space group Pm-3m (No. 221)
Symmetry-distinct sites (fractional):
Rb  0.0000  0.0000  0.0000 (multiplicity 1)  12 Bi 3.99
Si  0.5000  0.5000  0.5000 (multiplicity 1)  6 Bi 2.82
Bi  0.0000  0.5000  0.5000 (multiplicity 3)  2 Si 2.82

x) Material: RbSiBi3
Method: DFT, PBE
State: optimized geometry

Computed properties:
Total magnetic moment = 0.0 μB per formula unit

a b c (Å): 6.0336 6.0336 6.0336
angles (deg): 90.00 90.00 90.00
With the nearest neighbours (Å) after each atom.
Space group Pm-3m (No. 221)
Symmetry-distinct sites (fractional):
Rb  0.0000  0.0000  0.0000 (multiplicity 1)  6 Bi 3.02
Si  0.5000  0.5000  0.5000 (multiplicity 1)  12 Bi 4.27
Bi  0.0000  0.0000  0.5000 (multiplicity 3)  2 Rb 3.02

Of them, the most stable is w) and the least stable is x).

w) Material: RbSmBi2
Method: DFT, PBE
State: optimized geometry

Computed properties:
Total magnetic moment = 0.0 μB per formula unit

a b c (Å): 4.2909 4.2909 8.1486
angles (deg): 90.00 90.00 90.00
With the nearest neighbours (Å) after each atom.
Space group P4/mmm (No. 123)
Symmetry-distinct sites (fractional):
Rb  0.0000  0.0000  0.0000 (multiplicity 1)  8 Bi 3.95, 2 Sm 4.07, 4 Rb 4.29
Sm  0.0000  0.0000  0.5000 (multiplicity 1)  8 Bi 3.41
Bi  0.5000  0.5000  0.3094 (multiplicity 2)  1 Bi 3.11, 4 Sm 3.41

x) Material: RbSmBi2
Method: DFT, PBE
State: optimized geometry

Computed properties:
Total magnetic moment = 0.0 μB per formula unit

a b c (Å): 4.5664 4.5664 27.6025
angles (deg): 90.00 90.00 120.00
With the nearest neighbours (Å) after each atom.
Space group R3m (No. 160, hexagonal axes)
Symmetry-distinct sites (fractional):
Rb  0.0000  0.0000  0.0000 (multiplicity 3)  6 Bi 3.79-3.86
Sm  0.0000  0.0000  0.1691 (multiplicity 3)  6 Bi 3.20-3.22
Bi  0.0000  0.0000  0.5683 (multiplicity 3)  3 Sm 3.20
Bi  0.0000  0.0000  0.7687 (multiplicity 3)  3 Sm 3.22

Of them, the most stable is w) and the least stable is x).

w) Material: Rb3SnBi
Method: DFT, PBE
State: optimized geometry

Computed properties:
Total magnetic moment = 2.0 μB per formula unit

a b c (Å): 7.1425 7.1425 7.1425
angles (deg): 90.00 90.00 90.00
With the nearest neighbours (Å) after each atom.
Space group Pm-3m (No. 221)
Symmetry-distinct sites (fractional):
Rb  0.0000  0.0000  0.5000 (multiplicity 3)  2 Bi 3.57
Sn  0.5000  0.5000  0.5000 (multiplicity 1)  12 Rb 5.05
Bi  0.0000  0.0000  0.0000 (multiplicity 1)  6 Rb 3.57

x) Material: Rb3SnBi
Method: DFT, PBE
State: optimized geometry

Computed properties:
Total magnetic moment = 0.0 μB per formula unit

a b c (Å): 13.3136 11.8157 9.2176
angles (deg): 90.00 131.50 90.00
With the nearest neighbours (Å) after each atom.
Space group C2/m (No. 12)
Symmetry-distinct sites (fractional):
Rb  0.0574  0.0000  0.3407 (multiplicity 4)  2 Sn 3.73-3.76, 1 Bi 3.76, 1 Rb 4.11
Rb  0.2176  0.3149  0.7579 (multiplicity 8)  2 Sn 3.84-4.14, 2 Bi 4.01-4.14, 2 Rb 4.23-4.27
Sn  0.1977  0.5000  0.1190 (multiplicity 4)  2 Bi 2.99-3.02
Bi  0.0657  0.5000  0.2871 (multiplicity 4)  2 Sn 2.99-3.02

Of them, the most stable is x) and the least stable is w).

w) Material: Rb2SnBi2
Method: DFT, PBE
State: optimized geometry

Computed properties:
Total magnetic moment = 0.0 μB per formula unit

a b c (Å): 8.3198 8.3198 6.0073
angles (deg): 90.00 90.00 90.00
With the nearest neighbours (Å) after each atom.
Space group P4/mbm (No. 127)
Symmetry-distinct sites (fractional):
Rb  0.1738  0.3262  0.0000 (multiplicity 4)  6 Bi 3.78-3.95, 1 Rb 4.09
Sn  0.0000  0.0000  0.5000 (multiplicity 2)  4 Bi 3.26
Bi  0.1308  0.6308  0.5000 (multiplicity 4)  1 Bi 3.08, 2 Sn 3.26

x) Material: Rb2SnBi2
Method: DFT, PBE
State: optimized geometry

Computed properties:
Total magnetic moment = 0.0 μB per formula unit

a b c (Å): 6.5810 19.7480 6.5634
angles (deg): 90.00 90.00 90.00
With the nearest neighbours (Å) after each atom.
Space group Cmcm (No. 63)
Symmetry-distinct sites (fractional):
Rb  0.0000  0.0626  0.2500 (multiplicity 4)  6 Bi 3.81-3.93, 4 Sn 3.88, 4 Rb 4.11-4.24
Rb  0.0000  0.3024  0.7500 (multiplicity 4)  6 Bi 3.94-4.01, 2 Sn 4.23, 2 Rb 4.24
Sn  0.0000  0.5000  0.0000 (multiplicity 4)  2 Sn 3.28, 4 Bi 3.34
Bi  0.2402  0.1195  0.7500 (multiplicity 8)  2 Bi 3.16-3.42, 2 Sn 3.34

Of them, the most stable is x) and the least stable is w).